Entry from Alexandria via LeMat-Bulk: a geometry-optimized Cd8Ag2Pt3 structure (PBE).

The energy of formation from the pure elements is -2.306 kcal/mol of atoms. The calculation puts the total energy at -2.50 eV/atom. For the theoretical density, the calculation gives 10.8 Mg/m³. The value obtained for the total moment is 0.00 μB per formula unit.

The space group is C2/m (No. 12) and the conventional cell measures 11.5818, 9.6845 and 4.8388 Å, with angles of 90.00, 104.62 and 90.00 degrees. The distinct sites, in fractional coordinates, are Cd at (0.0731, 0.0000, 0.3022), Cd at (0.1387, 0.2610, 0.0861), Cd at (0.1412, 0.5000, 0.5662), Ag at (0.2093, 0.0000, 0.8694), Pt at (0.0000, 0.2530, 0.5000) and Pt at (0.0000, 0.5000, 0.0000).